[1]
# ZnWI2 (GGA-PBE, relaxed)
# magnetization: 0.0 μB/cell
# formation energy (no corrections): 4.4 eV per formula unit
# crystal system: cubic
# space group: Fm-3m
data_ZnWI2
_cell_length_a 4.941
_cell_length_b 4.941
_cell_length_c 4.941
_cell_angle_alpha 60.00
_cell_angle_beta 60.00
_cell_angle_gamma 60.00
_space_group_name_H-M_alt 'P 1'
_space_group_IT_number 1
loop_
_space_group_symop_operation_xyz
'x,y,z'
loop_
_atom_site_label
_atom_site_type_symbol
_atom_site_fract_x
_atom_site_fract_y
_atom_site_fract_z
Zn1 Zn 0.000 0.000 0.000
W1 W 0.500 0.500 0.500
I1 I 0.250 0.250 0.250
I2 I 0.750 0.750 0.750

---

[2]
# Zn3WI (GGA-PBE, relaxed)
# magnetization: 3.5 μB/cell
# formation energy (no corrections): 5.2 eV per formula unit
# crystal system: cubic
# space group: Pm-3m
data_Zn3WI
_cell_length_a 5.202
_cell_length_b 5.202
_cell_length_c 5.202
_cell_angle_alpha 90.00
_cell_angle_beta 90.00
_cell_angle_gamma 90.00
_space_group_name_H-M_alt 'P 1'
_space_group_IT_number 1
loop_
_space_group_symop_operation_xyz
'x,y,z'
loop_
_atom_site_label
_atom_site_type_symbol
_atom_site_fract_x
_atom_site_fract_y
_atom_site_fract_z
Zn1 Zn 0.000 0.000 0.500
Zn2 Zn 0.000 0.500 0.000
Zn3 Zn 0.500 0.000 0.000
W1 W 0.000 0.000 0.000
I1 I 0.500 0.500 0.500

---

[3]
# ZnWI3 (GGA-PBE, relaxed)
# magnetization: 3.0 μB/cell
# formation energy (no corrections): 3.0 eV per formula unit
# crystal system: cubic
# space group: Pm-3m
data_ZnWI3
_cell_length_a 5.643
_cell_length_b 5.643
_cell_length_c 5.643
_cell_angle_alpha 90.00
_cell_angle_beta 90.00
_cell_angle_gamma 90.00
_space_group_name_H-M_alt 'P 1'
_space_group_IT_number 1
loop_
_space_group_symop_operation_xyz
'x,y,z'
loop_
_atom_site_label
_atom_site_type_symbol
_atom_site_fract_x
_atom_site_fract_y
_atom_site_fract_z
Zn1 Zn 0.000 0.000 0.000
W1 W 0.500 0.500 0.500
I1 I 0.000 0.500 0.500
I2 I 0.500 0.000 0.500
I3 I 0.500 0.500 0.000